# PmMg2MoO6 (PBE+U, optimized geometry)
# **E**: -6.968 eV/atom
# **Magnetization**: 1.00 μB/f.u.
data_PmMg2MoO6
_cell_length_a 5.3591
_cell_length_b 5.3919
_cell_length_c 5.7279
_cell_angle_alpha 118.08
_cell_angle_beta 90.05
_cell_angle_gamma 118.78
_symmetry_space_group_name_H-M 'P 1'
_symmetry_Int_Tables_number 1
loop_
_symmetry_equiv_pos_as_xyz
'x,y,z'
loop_
_atom_site_label
_atom_site_type_symbol
_atom_site_fract_x
_atom_site_fract_y
_atom_site_fract_z
Pm1 Pm 0.0000 0.0000 0.0000
Mg1 Mg 0.2150 0.4474 0.6584
Mg2 Mg 0.7141 0.4455 0.1777
Mo1 Mo 0.5092 0.0333 0.5615
O1 O 0.1182 0.5828 0.3817
O2 O 0.3518 0.2763 0.8460
O3 O 0.4137 0.2295 0.3672
O4 O 0.5613 0.9309 0.8516
O5 O 0.7675 0.9269 0.3718
O6 O 0.9053 0.4890 0.8481